Material: ReMoF2
Method: DFT, PBE with a Hubbard U
State: optimized geometry

a b c (Å): 2.6873 2.6873 24.9330
angles (deg): 90.00 90.00 120.00
Space group R-3m (No. 166, hexagonal axes)
Symmetry-distinct sites (fractional):
Re1 0.0000 0.0000 0.0000 [3 per cell]
Mo1 0.0000 0.0000 0.5000 [3 per cell]
F1 0.0000 0.0000 0.0815 [6 per cell]

Distance to the lowest polymorph of the same formula ... 0 meV per atom

Material: Re2MoF
Method: DFT, PBE with a Hubbard U
State: optimized geometry

a b c (Å): 6.172 6.172 6.172
angles (deg): 90.00 90.00 90.00
Space group Fm-3m (No. 225)
Symmetry-distinct sites (fractional):
Re1 0.250 0.250 0.250 [8 per cell]
Mo1 0.000 0.000 0.000 [4 per cell]
F1 0.000 0.000 0.500 [4 per cell]

Distance to the lowest polymorph of the same formula ... 0 meV per atom

Material: ReMoF2
Method: DFT, PBE with a Hubbard U
State: optimized geometry

a b c (Å): 6.254 6.254 6.254
angles (deg): 90.00 90.00 90.00
Space group Fm-3m (No. 225)
Symmetry-distinct sites (fractional):
Re1 0.000 0.000 0.000 [4 per cell]
Mo1 0.000 0.000 0.500 [4 per cell]
F1 0.250 0.250 0.250 [8 per cell]

Distance to the lowest polymorph of the same formula ... 635 meV per atom

Material: ReMo2F
Method: DFT, PBE with a Hubbard U
State: optimized geometry

a b c (Å): 6.197 6.197 6.197
angles (deg): 90.00 90.00 90.00
Space group Fm-3m (No. 225)
Symmetry-distinct sites (fractional):
Re1 0.000 0.000 0.000 [4 per cell]
Mo1 0.250 0.250 0.250 [8 per cell]
F1 0.000 0.000 0.500 [4 per cell]

Distance to the lowest polymorph of the same formula ... 110 meV per atom

Material: Re2MoF
Method: DFT, PBE with a Hubbard U
State: optimized geometry

a b c (Å): 6.736 6.736 5.141
angles (deg): 90.00 90.00 90.00
Space group I-42d (No. 122)
Symmetry-distinct sites (fractional):
Re1 0.206 0.750 0.125 [8 per cell]
Mo1 0.000 0.000 0.500 [4 per cell]
F1 0.000 0.000 0.000 [4 per cell]

Distance to the lowest polymorph of the same formula ... 97 meV per atom

Material: ReMoF2
Method: DFT, PBE with a Hubbard U
State: optimized geometry

a b c (Å): 2.7359 2.7359 31.8868
angles (deg): 90.00 90.00 120.00
Space group R-3m (No. 166, hexagonal axes)
Symmetry-distinct sites (fractional):
Re1 0.0000 0.0000 0.0000 [3 per cell]
Mo1 0.0000 0.0000 0.5000 [3 per cell]
F1 0.0000 0.0000 0.4404 [6 per cell]

Distance to the lowest polymorph of the same formula ... 167 meV per atom